First-principles (GGA-PBE) data for a relaxed structure of YZrTl2Br6, as listed in OQMD via LeMat-Bulk.

```
YZrTl2Br6
1.0
2.246 -6.764 3.178
-3.725 -2.796 6.262
-4.536 -6.316 -0.656
Br Tl Y Zr
6 2 1 1
direct
0.752 0.248 0.248
0.248 0.752 0.248
0.752 0.752 0.248
0.248 0.248 0.752
0.752 0.248 0.752
0.248 0.752 0.752
0.250 0.250 0.250
0.750 0.750 0.750
0.500 0.500 0.500
0.000 0.000 0.000
```

- symmetry = No. 225



First-principles (GGA-PBE) data for a relaxed structure of PrSiO3, as listed in OQMD via LeMat-Bulk.

```
PrSiO3
1.0
-0.098 -3.340 -4.201
-0.226 -4.179 3.328
-7.555 0.337 -0.091
O Pr Si
12 4 4
direct
0.750 0.250 0.001
0.750 0.750 0.001
0.002 0.500 0.250
0.498 0.000 0.250
0.750 0.250 0.499
0.750 0.750 0.499
0.250 0.250 0.501
0.250 0.750 0.501
0.502 0.000 0.750
0.998 0.500 0.750
0.250 0.250 0.999
0.250 0.750 0.999
0.500 0.500 0.250
0.000 0.000 0.250
0.000 0.000 0.750
0.500 0.500 0.750
0.500 0.000 0.000
0.000 0.500 0.000
0.500 0.000 0.500
0.000 0.500 0.500
```

- symmetry = No. 74



First-principles (GGA-PBE) data for a relaxed structure of DyAl3GaNi, as listed in OQMD via LeMat-Bulk.

```
DyAl3GaNi
1.0
2.422 -0.119 -7.551
-5.198 2.305 5.528
3.558 5.495 1.055
Al Dy Ga Ni
6 2 2 2
direct
0.500 0.500 0.000
0.688 0.312 0.052
0.688 0.312 0.448
0.500 0.500 0.500
0.312 0.688 0.552
0.312 0.688 0.948
0.882 0.118 0.250
0.118 0.882 0.750
0.072 0.928 0.250
0.928 0.072 0.750
0.225 0.775 0.250
0.775 0.225 0.750
```

- symmetry = No. 63
- offset from the most stable computed form (meV per atom) = 16



First-principles (GGA-PBE) data for a relaxed structure of YHfPbC, as listed in OQMD via LeMat-Bulk.

```
YHfPbC
1.0
-1.510 3.141 -0.241
-0.641 -2.437 -2.420
-11.963 -5.113 8.316
C Hf Pb Y
2 2 2 2
direct
0.000 0.000 0.000
0.000 0.000 0.500
0.333 0.667 0.076
0.667 0.333 0.924
0.667 0.333 0.236
0.333 0.667 0.764
0.333 0.667 0.413
0.667 0.333 0.587
```

- symmetry = No. 164
- offset from the most stable computed form (meV per atom) = 49



First-principles (GGA-PBE) data for a relaxed structure of Lu3ZnAg, as listed in OQMD via LeMat-Bulk.

```
Lu3ZnAg
1.0
4.667 -8.090 0.000
4.667 8.090 0.000
0.000 0.000 4.467
Ag Lu Zn
2 6 2
direct
0.833 0.167 0.250
0.167 0.833 0.750
0.172 0.336 0.250
0.664 0.336 0.250
0.664 0.828 0.250
0.336 0.172 0.750
0.336 0.664 0.750
0.828 0.664 0.750
0.500 0.500 0.000
0.500 0.500 0.500
```

- ΔE_f (meV per atom) = 649
- symmetry = No. 194



First-principles (GGA-PBE) data for a relaxed structure of LaHfCuPd, as listed in OQMD via LeMat-Bulk.

```
LaHfCuPd
1.0
0.000 3.373 3.373
3.373 0.000 3.373
3.373 3.373 0.000
Cu Hf La Pd
1 1 1 1
direct
0.750 0.750 0.750
0.250 0.250 0.250
0.500 0.500 0.500
0.000 0.000 0.000
```

- ΔE_f (meV per atom) = -118
- symmetry = No. 216
- offset from the most stable computed form (meV per atom) = 109



First-principles (GGA-PBE) data for a relaxed structure of TbFe3, as listed in OQMD via LeMat-Bulk.

```
TbFe3
1.0
3.933 0.000 0.000
0.000 3.935 0.000
0.000 0.000 3.934
Fe Tb
3 1
direct
0.500 0.500 0.000
0.500 0.000 0.500
0.000 0.500 0.500
0.000 0.000 0.000
```

- ΔE_f (meV per atom) = 329
- symmetry = No. 221



First-principles (GGA-PBE) data for a relaxed structure of ZrICl2, as listed in OQMD via LeMat-Bulk.

```
ZrICl2
1.0
-3.395 -4.513 -2.631
-0.338 -3.456 6.364
-4.911 4.909 -2.083
Cl I Zr
4 2 2
direct
0.500 0.298 0.026
0.000 0.297 0.297
0.500 0.026 0.298
0.500 0.709 0.709
0.000 0.664 0.001
0.000 0.001 0.664
0.247 0.002 0.002
0.753 0.002 0.002
```

- symmetry = No. 38
- offset from the most stable computed form (meV per atom) = 0



| no. | final energy (Ry per atom) |
| --- | --- |
| 1 | -0.2931 |
| 2 | -0.5461 |
| 3 | -0.3404 |
| 4 | -0.5791 |
| 5 | -0.2119 |
| 6 | -0.4455 |
| 7 | -0.5189 |
| 8 | -0.3610 |